No. 1
K4Nd3RuO8: optimized geometry, PBE.

Cell lengths 7.469, 7.469, 7.469 Å; angles 56.17, 56.17, 56.17 degrees
Positions (direct):
K  0.000  0.000  0.000
K  0.000  0.500  0.500
K  0.500  0.000  0.500
K  0.500  0.500  0.000
Nd  0.000  0.000  0.500
Nd  0.000  0.500  0.000
Nd  0.500  0.000  0.000
Ru  0.500  0.500  0.500
O  0.232  0.232  0.232
O  0.251  0.719  0.719
O  0.281  0.281  0.749
O  0.281  0.749  0.281
O  0.719  0.251  0.719
O  0.719  0.719  0.251
O  0.749  0.281  0.281
O  0.768  0.768  0.768

## Properties
Energy: -101.46 eV for the cell shown
SG: R-3m (166)



No. 2
MgTc: optimized geometry, PBE.

Cell lengths 2.880, 2.880, 9.436 Å; angles 90.00, 90.00, 120.00 degrees
Positions (direct):
Mg  0.000  0.000  0.000
Mg  0.333  0.667  0.709
Tc  0.000  0.000  0.461
Tc  0.667  0.333  0.250

## Properties
E above lowest polymorph: 0.137 eV/atom
E_form: 0.22 eV/f.u.
SG: P3m1 (156)



No. 3
Ac2TeIr: optimized geometry, PBE.

Cell lengths 5.530, 5.530, 5.530 Å; angles 60.00, 60.00, 60.00 degrees
Positions (direct):
Ac  0.250  0.250  0.250
Ac  0.750  0.750  0.750
Te  0.000  0.000  0.000
Ir  0.500  0.500  0.500

## Properties
E above lowest polymorph: 0.436 eV/atom
SG: Fm-3m (225)



No. 4
Cd2ReW: optimized geometry, PBE.

Cell lengths 2.828, 2.828, 9.937 Å; angles 90.00, 90.00, 113.46 degrees
Positions (direct):
Cd  0.000  0.000  0.000
Cd  0.500  0.500  0.279
Re  0.000  0.000  0.534
W  0.500  0.500  0.742

## Properties
E above lowest polymorph: 0.000 eV/atom
E_form: 1.47 eV/f.u.
SG: Cmm2 (35)



No. 5
Cd2CuSbPt: optimized geometry, PBE.

Cell lengths 4.878, 4.878, 4.823 Å; angles 90.00, 90.00, 90.00 degrees
Positions (direct):
Cd  0.000  0.500  0.000
Cd  0.500  0.000  0.000
Cu  0.000  0.000  0.000
Sb  0.000  0.000  0.500
Pt  0.500  0.500  0.500

## Properties
Energy: -13.63 eV for the cell shown
SG: P4/mmm (123)



No. 6
PRuW2: optimized geometry, PBE.

Cell lengths 5.519, 5.519, 5.519 Å; angles 104.00, 104.00, 121.08 degrees
Positions (direct):
P  0.000  0.000  0.000
P  0.750  0.250  0.500
Ru  0.250  0.750  0.500
Ru  0.500  0.500  0.000
W  0.098  0.625  0.973
W  0.375  0.348  0.473
W  0.652  0.125  0.027
W  0.875  0.902  0.527

## Properties
E_form: 1.88 eV/f.u.
SG: I-42d (122)



No. 7
Pr3BeSi2Pt9: optimized geometry, PBE.

Cell lengths 6.362, 6.362, 8.420 Å; angles 90.00, 90.00, 120.00 degrees
Positions (direct):
Pr  0.000  0.000  0.000
Pr  0.333  0.667  0.645
Pr  0.667  0.333  0.355
Be  0.000  0.000  0.500
Si  0.333  0.667  0.191
Si  0.667  0.333  0.809
Pt  0.000  0.500  0.000
Pt  0.144  0.288  0.306
Pt  0.144  0.856  0.306
Pt  0.288  0.144  0.694
Pt  0.500  0.000  0.000
Pt  0.500  0.500  0.000
Pt  0.712  0.856  0.306
Pt  0.856  0.144  0.694
Pt  0.856  0.712  0.694

## Properties
Energy: -94.88 eV for the cell shown
SG: P-3m1 (164)



No. 8
CsBMo3: optimized geometry, PBE.

Cell lengths 4.918, 4.918, 4.918 Å; angles 90.00, 90.00, 90.00 degrees
Positions (direct):
Cs  0.000  0.000  0.000
B  0.500  0.500  0.500
Mo  0.000  0.000  0.500
Mo  0.000  0.500  0.000
Mo  0.500  0.000  0.000

## Properties
E_form: 20.53 eV/f.u.
SG: Pm-3m (221)



No. 9
DyOsRu: optimized geometry, PBE.

Cell lengths 5.345, 5.345, 5.345 Å; angles 121.33, 118.45, 90.21 degrees
Positions (direct):
Dy  0.373  0.123  0.250
Dy  0.627  0.877  0.750
Os  0.000  0.000  0.500
Os  0.000  0.500  0.000
Ru  0.000  0.500  0.500
Ru  0.500  0.500  0.000

## Properties
E above lowest polymorph: 0.000 eV/atom
E_form: -0.88 eV/f.u.
SG: Imma (74)



No. 10
Sc3Pb: optimized geometry, PBE.

Cell lengths 3.334, 5.169, 5.620 Å; angles 90.00, 90.00, 90.00 degrees
Positions (direct):
Sc  0.000  0.000  0.000
Sc  0.000  0.500  0.338
Sc  0.500  0.500  0.842
Pb  0.500  0.000  0.510

## Properties
E_form: -0.70 eV/f.u.
SG: Pmm2 (25)



No. 11
LaInPd2Rh: optimized geometry, PBE.

Cell lengths 5.254, 5.254, 4.881 Å; angles 90.00, 90.00, 90.00 degrees
Positions (direct):
La  0.000  0.000  0.000
In  0.500  0.500  0.000
Pd  0.000  0.500  0.500
Pd  0.500  0.000  0.500
Rh  0.000  0.000  0.500

## Properties
E_form: 0.66 eV/f.u.
SG: P4/mmm (123)



No. 12
ZnGa6Cu: optimized geometry, PBE.

Cell lengths 5.907, 5.907, 5.302 Å; angles 103.26, 103.26, 118.04 degrees
Positions (direct):
Zn  0.000  0.000  0.000
Ga  0.196  0.742  0.239
Ga  0.258  0.804  0.761
Ga  0.463  0.463  0.731
Ga  0.537  0.537  0.269
Ga  0.742  0.196  0.239
Ga  0.804  0.258  0.761
Cu  0.000  0.000  0.500

## Properties
E_form: 0.42 eV/f.u.
SG: C2/m (12)



No. 13
NdY4Er: optimized geometry, PBE.

Cell lengths 5.675, 5.675, 6.945 Å; angles 90.00, 90.00, 120.00 degrees
Positions (direct):
Nd  0.000  0.000  0.000
Y  0.333  0.667  0.254
Y  0.333  0.667  0.746
Y  0.667  0.333  0.254
Y  0.667  0.333  0.746
Er  0.000  0.000  0.500

## Properties
E above lowest polymorph: 0.045 eV/atom
E_form: 0.40 eV/f.u.
SG: P6/mmm (191)



No. 14
ReS: optimized geometry, PBE.

Cell lengths 6.222, 6.222, 6.222 Å; angles 109.47, 109.47, 109.47 degrees
Positions (direct):
Re  0.000  0.000  0.270
Re  0.000  0.270  0.000
Re  0.270  0.000  0.000
Re  0.730  0.730  0.730
S  0.000  0.000  0.637
S  0.000  0.637  0.000
S  0.363  0.363  0.363
S  0.637  0.000  0.000

## Properties
E above lowest polymorph: 0.339 eV/atom
SG: I-43m (217)



No. 15
Tb4HoAl: optimized geometry, PBE.

Cell lengths 8.177, 8.177, 6.245 Å; angles 99.90, 99.90, 115.52 degrees
Positions (direct):
Tb  0.085  0.716  0.955
Tb  0.164  0.397  0.623
Tb  0.284  0.915  0.545
Tb  0.397  0.164  0.123
Tb  0.603  0.836  0.877
Tb  0.716  0.085  0.455
Tb  0.836  0.603  0.377
Tb  0.915  0.284  0.045
Ho  0.408  0.592  0.250
Ho  0.592  0.408  0.750
Al  0.001  0.999  0.750
Al  0.999  0.001  0.250

## Properties
E above lowest polymorph: 0.082 eV/atom
E_form: -0.21 eV/f.u.
SG: C2/c (15)



No. 16
BaGe2Au10: optimized geometry, PBE.

Cell lengths 9.500, 7.627, 7.054 Å; angles 80.55, 52.36, 47.09 degrees
Positions (direct):
Ba  0.000  0.000  0.000
Ge  0.000  0.500  0.000
Ge  0.500  0.000  0.500
Au  0.000  0.000  0.500
Au  0.003  0.346  0.654
Au  0.277  0.498  0.502
Au  0.346  0.003  0.997
Au  0.498  0.277  0.723
Au  0.500  0.500  0.000
Au  0.502  0.723  0.277
Au  0.654  0.997  0.003
Au  0.723  0.502  0.498
Au  0.997  0.654  0.346

## Properties
E_form: -1.92 eV/f.u.
SG: Fmmm (69)



No. 17
Pm2CdGe: optimized geometry, PBE.

Cell lengths 5.269, 5.269, 5.269 Å; angles 60.00, 60.00, 60.00 degrees
Positions (direct):
Pm  0.250  0.250  0.250
Pm  0.750  0.750  0.750
Cd  0.000  0.000  0.000
Ge  0.500  0.500  0.500

## Properties
E above lowest polymorph: 0.033 eV/atom
E_form: -1.96 eV/f.u.
SG: Fm-3m (225)



No. 18
PmHg2Rh: optimized geometry, PBE.

Cell lengths 4.981, 4.981, 4.981 Å; angles 60.00, 60.00, 60.00 degrees
Positions (direct):
Pm  0.000  0.000  0.000
Hg  0.250  0.250  0.250
Hg  0.750  0.750  0.750
Rh  0.500  0.500  0.500

## Properties
E above lowest polymorph: 0.171 eV/atom
E_form: -1.06 eV/f.u.
SG: Fm-3m (225)



No. 19
GaHW: optimized geometry, PBE.

Cell lengths 3.183, 3.183, 3.929 Å; angles 90.00, 90.00, 120.00 degrees
Positions (direct):
Ga  0.000  0.000  0.000
H  0.667  0.333  0.400
W  0.333  0.667  0.510

## Properties
E above lowest polymorph: 0.000 eV/atom
SG: P3m1 (156)



No. 20
Tb3NdAs4: optimized geometry, PBE.

Cell lengths 5.900, 5.900, 5.900 Å; angles 90.00, 90.00, 90.00 degrees
Positions (direct):
Tb  0.000  0.000  0.500
Tb  0.000  0.500  0.000
Tb  0.500  0.000  0.000
Nd  0.500  0.500  0.500
As  0.000  0.000  0.000
As  0.000  0.500  0.500
As  0.500  0.000  0.500
As  0.500  0.500  0.000

## Properties
E_form: -12.22 eV/f.u.
SG: Pm-3m (221)



| no. | mass density (g/cm3) |
| --- | --- |
| 1 | 5.059 |
| 2 | 5.993 |
| 3 | 10.745 |
| 4 | 13.554 |
| 5 | 8.758 |
| 6 | 13.240 |
| 7 | 12.623 |
| 8 | 6.023 |
| 9 | 13.946 |
| 10 | 5.866 |
| 11 | 7.020 |
| 12 | 6.218 |
| 13 | 5.718 |
| 14 | 7.818 |
| 15 | 7.705 |
| 16 | 14.001 |
| 17 | 7.624 |
| 18 | 12.333 |
| 19 | 12.263 |
| 20 | 7.444 |